(1)
The following is a PBEsol calculation of an optimized crystal structure of BaHfCl3, from Alexandria via LeMat-Bulk.

## Properties
* calculated volume: 200.34 Å³ per cell
* M_tot: 0.98 μB per formula unit
* calculated total energy: -4.194 eV/atom
* theoretical density: 3.50 g cm⁻³
* formation energy from raw total energies: -0.459 eV/atom

a b c (Å): 5.8514 5.8514 5.8514
angles (deg): 90.00 90.00 90.00
Closest atoms and distances in Å follow each position.
Positions (direct):
Ba  0.0000  0.0000  0.0000  6 Cl 2.93
Cl  0.5000  0.0000  0.0000  2 Ba 2.93
Cl  0.0000  0.0000  0.5000  2 Ba 2.93
Cl  0.0000  0.5000  0.0000  2 Ba 2.93
Hf  0.5000  0.5000  0.5000  12 Cl 4.14

***

(2)
The following is a PBEsol calculation of an optimized crystal structure of BaHf2Cl, from Alexandria via LeMat-Bulk.

## Properties
* calculated volume: 95.94 Å³ per cell
* M_tot: 1.45 μB per formula unit
* calculated total energy: -5.375 eV/atom
* theoretical density: 9.17 g cm⁻³
* formation energy from raw total energies: 0.916 eV/atom

a b c (Å): 5.1386 5.1386 5.1386
angles (deg): 60.00 60.00 60.00
Closest atoms and distances in Å follow each position.
Positions (direct):
Cl  0.0000  0.0000  0.0000  8 Hf 3.15
Ba  0.5000  0.5000  0.5000  8 Hf 3.15
Hf  0.2500  0.2500  0.2500  4 Ba 3.15, 4 Cl 3.15
Hf  0.7500  0.7500  0.7500  4 Ba 3.15, 4 Cl 3.15

***

(3)
The following is a PBEsol calculation of an optimized crystal structure of BaHfHgCl2, from Alexandria via LeMat-Bulk.

## Properties
* calculated volume: 213.92 Å³ per cell
* M_tot: 2.02 μB per formula unit
* calculated total energy: -3.409 eV/atom
* theoretical density: 4.56 g cm⁻³
* formation energy from raw total energies: 0.038 eV/atom

a b c (Å): 5.6846 5.6846 6.6200
angles (deg): 90.00 90.00 90.00
Closest atoms and distances in Å follow each position.
Positions (direct):
Hg  0.0000  0.0000  0.5000  2 Ba 3.31
Cl  0.5000  0.0000  0.0000  2 Ba 2.84
Cl  0.0000  0.5000  0.0000  2 Ba 2.84
Hf  0.5000  0.5000  0.5000  4 Hg 4.02, 8 Cl 4.36
Ba  0.0000  0.0000  0.0000  4 Cl 2.84

***

(4)
The following is a PBEsol calculation of an optimized crystal structure of BaHg2Cl, from Alexandria via LeMat-Bulk.

## Properties
* calculated volume: 118.79 Å³ per cell
* M_tot: 0.00 μB per formula unit
* calculated total energy: -2.278 eV/atom
* theoretical density: 8.02 g cm⁻³
* energy relative to the lowest polymorph listed for this composition: 0.016 eV/atom
* formation energy from raw total energies: -0.955 eV/atom

a b c (Å): 4.1472 4.1472 6.9066
angles (deg): 90.00 90.00 90.00
Closest atoms and distances in Å follow each position.
Positions (direct):
Cl  0.5000  0.5000  0.6895  4 Ba 3.08, 1 Hg 3.41
Ba  0.0000  0.0000  0.5531  4 Cl 3.08, 1 Hg 3.40
Hg  0.5000  0.5000  0.1960  4 Hg 3.08, 1 Cl 3.41
Hg  0.0000  0.0000  0.0614  4 Hg 3.08, 1 Ba 3.40

***

(5)
The following is a PBEsol calculation of an optimized crystal structure of Ba2HgCl2, from Alexandria via LeMat-Bulk.

## Properties
* calculated volume: 172.36 Å³ per cell
* M_tot: 1.48 μB per formula unit
* calculated total energy: -3.183 eV/atom
* theoretical density: 5.26 g cm⁻³
* formation energy from raw total energies: -1.406 eV/atom

a b c (Å): 5.9829 6.4097 5.9829
angles (deg): 62.18 90.00 117.82
Closest atoms and distances in Å follow each position.
Positions (direct):
Cl  0.3279  0.6558  0.6721  4 Ba 3.08, 1 Hg 3.16, 1 Cl 3.31
Cl  0.6721  0.3442  0.3279  4 Ba 3.08, 1 Hg 3.16, 1 Cl 3.31
Ba  0.2500  0.5000  0.2500  4 Cl 3.08
Ba  0.7500  0.5000  0.7500  4 Cl 3.08
Hg  0.0000  0.0000  0.0000  2 Cl 3.16

***

(6)
The following is a PBEsol calculation of an optimized crystal structure of Ba2HgCl, from Alexandria via LeMat-Bulk.

## Properties
* calculated volume: 125.19 Å³ per cell
* M_tot: 0.00 μB per formula unit
* calculated total energy: -2.220 eV/atom
* theoretical density: 6.77 g cm⁻³
* energy relative to the lowest polymorph listed for this composition: 0.631 eV/atom
* formation energy from raw total energies: -0.502 eV/atom

a b c (Å): 5.6152 5.6152 5.6152
angles (deg): 60.00 60.00 60.00
Closest atoms and distances in Å follow each position.
Positions (direct):
Cl  0.5000  0.5000  0.5000  4 Hg 3.44, 4 Ba 3.44
Hg  0.2500  0.2500  0.2500  4 Ba 3.44, 4 Cl 3.44
Ba  0.0000  0.0000  0.0000  4 Ba 3.44, 4 Hg 3.44
Ba  0.7500  0.7500  0.7500  4 Cl 3.44, 4 Ba 3.44